1.
Material: YPu2ScAs4
Method: DFT, GGA-PBE
State: optimized geometry

a b c (Å): 7.011 4.085 7.069
angles (deg): 90.00 109.64 90.00
Space group P2/m (No. 10)
Symmetry-distinct sites (fractional):
Y  0.000  0.000  0.000
Pu  0.500  0.000  0.500
Pu  0.500  0.500  0.000
Sc  0.000  0.500  0.500
As  0.243  0.000  0.740
As  0.248  0.500  0.257

Results
E_tot in eV per cell: -69.89
Crystal system: monoclinic
Calculated formation energy in kJ/mol of atoms: -119
Volume in Å³ per atom: 23.83

***

2.
Material: PuZrSc2As4
Method: DFT, GGA-PBE
State: optimized geometry

a b c (Å): 6.789 3.943 6.832
angles (deg): 90.00 109.33 90.00
Space group P2/m (No. 10)
Symmetry-distinct sites (fractional):
Pu  0.000  0.000  0.000
Zr  0.000  0.500  0.500
Sc  0.500  0.000  0.500
Sc  0.500  0.500  0.000
As  0.255  0.000  0.745
As  0.260  0.500  0.260

Results
E_tot in eV per cell: -63.98
Crystal system: monoclinic
Calculated formation energy in kJ/mol of atoms: -119
Volume in Å³ per atom: 21.57

***

3.
Material: PuAsSe
Method: DFT, GGA-PBE
State: optimized geometry

a b c (Å): 8.722 4.165 8.344
angles (deg): 90.00 102.45 90.00
Space group C2/m (No. 12)
Symmetry-distinct sites (fractional):
Pu  0.117  0.000  0.251
As  0.125  0.500  0.959
Se  0.170  0.000  0.624

Results
E_tot in eV per cell: -100.19
Crystal system: monoclinic
Raw formation energy in eV/atom: -0.860
Volume in Å³ per atom: 24.66

***

4.
Material: PuAsSe
Method: DFT, GGA-PBE
State: optimized geometry

a b c (Å): 3.982 3.982 16.900
angles (deg): 90.00 90.00 90.00
Space group I4/mmm (No. 139)
Symmetry-distinct sites (fractional):
Pu  0.000  0.000  0.138
As  0.000  0.500  0.000
Se  0.000  0.000  0.317

Results
E_tot in eV per cell: -103.43
Crystal system: tetragonal
Raw formation energy in eV/atom: -1.131
Volume in Å³ per atom: 22.33

***

5.
Material: Pu3AsSe3
Method: DFT, GGA-PBE
State: optimized geometry

a b c (Å): 5.782 5.782 5.782
angles (deg): 90.00 90.00 90.00
Space group Pm-3m (No. 221)
Symmetry-distinct sites (fractional):
Pu  0.000  0.000  0.500
As  0.000  0.000  0.000
Se  0.000  0.500  0.500

Results
Energy above the lowest structure with this stoichiometry in meV/atom: 39
E_tot in eV per cell: -66.98
Crystal system: cubic
Raw formation energy in eV/atom: -1.269
Volume in Å³ per atom: 27.62

***

6.
Material: Pu3As5Se12
Method: DFT, GGA-PBE
State: optimized geometry

a b c (Å): 16.330 16.330 16.330
angles (deg): 90.00 90.00 90.00
Space group Ia-3d (No. 230)
Symmetry-distinct sites (fractional):
Pu  0.000  0.250  0.125
As  0.000  0.000  0.000
As  0.000  0.250  0.375
Se  0.021  0.063  0.651

Results
E_tot in eV per cell: -944.09
Crystal system: cubic
Raw formation energy in eV/atom: -0.498
Volume in Å³ per atom: 27.22

***

7.
Material: Pu5AsSe4
Method: DFT, GGA-PBE
State: optimized geometry

a b c (Å): 9.282 9.282 5.855
angles (deg): 90.00 90.00 90.00
Space group I4/m (No. 87)
Symmetry-distinct sites (fractional):
Pu  0.000  0.000  0.000
Pu  0.100  0.298  0.500
As  0.000  0.000  0.500
Se  0.100  0.303  0.000

Results
E_tot in eV per cell: -208.78
Crystal system: tetragonal
Raw formation energy in eV/atom: -1.414
Volume in Å³ per atom: 25.22

***

8.
Material: Pu4AsSe3
Method: DFT, GGA-PBE
State: optimized geometry

a b c (Å): 8.315 11.760 4.160
angles (deg): 90.00 90.00 90.00
Space group Cmmm (No. 65)
Symmetry-distinct sites (fractional):
Pu  0.000  0.248  0.000
Pu  0.247  0.000  0.500
As  0.000  0.000  0.000
Se  0.000  0.500  0.000
Se  0.250  0.250  0.500

Results
E_tot in eV per cell: -167.60
Crystal system: orthorhombic
Raw formation energy in eV/atom: -1.421
Volume in Å³ per atom: 25.42

***

9.
Material: Pu5As4Se
Method: DFT, GGA-PBE
State: optimized geometry

a b c (Å): 4.140 4.140 29.330
angles (deg): 90.00 90.00 90.00
Space group I4/mmm (No. 139)
Symmetry-distinct sites (fractional):
Pu  0.000  0.000  0.000
Pu  0.000  0.000  0.201
Pu  0.000  0.000  0.400
As  0.000  0.000  0.099
As  0.000  0.000  0.300
Se  0.000  0.000  0.500

Results
E_tot in eV per cell: -209.62
Crystal system: tetragonal
Raw formation energy in eV/atom: -1.107
Volume in Å³ per atom: 25.14

***

10.
Material: Pu8As4Se3
Method: DFT, GGA-PBE
State: optimized geometry

a b c (Å): 11.611 11.607 8.227
angles (deg): 90.00 134.62 90.00
Space group C2/m (No. 12)
Symmetry-distinct sites (fractional):
Pu  0.000  0.245  0.000
Pu  0.000  0.249  0.500
Pu  0.243  0.000  0.995
Pu  0.248  0.500  0.494
As  0.000  0.000  0.500
As  0.000  0.500  0.000
As  0.250  0.250  0.500
Se  0.000  0.500  0.500
Se  0.250  0.250  0.000

Results
E_tot in eV per cell: -318.33
Crystal system: monoclinic
Raw formation energy in eV/atom: -1.031
Volume in Å³ per atom: 26.31

***

11.
Material: PuAsSe3
Method: DFT, GGA-PBE
State: optimized geometry

a b c (Å): 17.518 4.004 7.602
angles (deg): 90.00 90.49 90.00
Space group C2/m (No. 12)
Symmetry-distinct sites (fractional):
Pu  0.229  0.000  0.249
As  0.029  0.500  0.652
Se  0.046  0.000  0.227
Se  0.164  0.500  0.035
Se  0.175  0.000  0.603

Results
E_tot in eV per cell: -131.79
Crystal system: monoclinic
Raw formation energy in eV/atom: -0.702
Volume in Å³ per atom: 26.66

***

12.
Material: Pu5As4Se
Method: DFT, GGA-PBE
State: optimized geometry

a b c (Å): 4.136 5.850 20.739
angles (deg): 90.00 90.00 90.00
Space group Immm (No. 71)
Symmetry-distinct sites (fractional):
Pu  0.000  0.000  0.000
Pu  0.000  0.000  0.201
Pu  0.000  0.000  0.399
As  0.000  0.500  0.200
As  0.000  0.500  0.401
Se  0.000  0.500  0.000

Results
E_tot in eV per cell: -209.63
Crystal system: orthorhombic
Raw formation energy in eV/atom: -1.107
Volume in Å³ per atom: 25.09

***

> The highest E_tot belongs to which entry?

PuZrSc2As4